A relaxed structure of SmDy3C2. Source: Alexandria via LeMat-Bulk, functional PBE.

a b c (Å): 13.1408 13.1408 7.4989
angles (deg): 28.78 28.78 31.88
Last column: nearest neighbours and their distance in Å.
Sites, in units of the cell vectors:
1 Sm 0.2432 0.2431 0.2569  3 C 2.53
2 Sm 0.7568 0.7569 0.7431  3 C 2.53
3 Dy 0.2613 0.7635 0.7365  3 C 2.47-2.48
4 Dy 0.7634 0.2613 0.7365  3 C 2.47-2.48
5 Dy 0.2613 0.2613 0.7408  3 C 2.47-2.48
6 Dy 0.2366 0.7387 0.2635  3 C 2.47-2.48
7 Dy 0.7387 0.2365 0.2635  3 C 2.47-2.48
8 Dy 0.7387 0.7387 0.2592  3 C 2.47-2.48
9 C 0.0000 0.0000 0.0000  4 Dy 2.47, 2 Sm 2.53
10 C 0.5000 0.0000 0.0000  4 Dy 2.47, 2 Sm 2.53
11 C 0.5000 0.5000 0.0000  6 Dy 2.48
12 C 0.0000 0.5000 0.0000  4 Dy 2.47, 2 Sm 2.53

- space-group type = R-3m
- calculated volume (Å³/cell) = 281.3
- M_tot (μB/atom) = 0.121
- energy of formation (eV/atom) = -0.246



A relaxed structure of SmDy2C. Source: Alexandria via LeMat-Bulk, functional PBE.

a b c (Å): 3.5910 3.5917 9.1928
angles (deg): 89.97 90.00 119.99
Last column: nearest neighbours and their distance in Å.
Sites, in units of the cell vectors:
1 Sm 0.0000 0.0000 0.0000  6 Sm 3.59, 6 Dy 3.85
2 Dy 0.6668 0.3337 0.3528  3 C 2.48
3 Dy 0.3332 0.6663 0.6472  3 C 2.48
4 C 0.0000 0.0000 0.5000  6 Dy 2.48

- space-group type = P-3m1
- calculated volume (Å³/cell) = 102.7
- M_tot (μB/atom) = 0.000
- energy of formation (eV/atom) = -0.183



A relaxed structure of Sm3DySn2C. Source: Alexandria via LeMat-Bulk, functional PBE.

a b c (Å): 4.8351 4.9158 8.8594
angles (deg): 106.11 105.84 90.00
Last column: nearest neighbours and their distance in Å.
Sites, in units of the cell vectors:
1 Sm 0.0000 0.5000 0.0000  2 C 2.46
2 Sm 0.1607 0.1607 0.3214  1 C 2.62
3 Sm 0.8393 0.8393 0.6786  1 C 2.62
4 Dy 0.5000 0.0000 0.0000  2 C 2.42
5 Sn 0.6387 0.6387 0.2774  7 Sm 3.27-3.47, 2 Dy 3.34
6 Sn 0.3613 0.3613 0.7226  7 Sm 3.27-3.47, 2 Dy 3.34
7 C 0.0000 0.0000 0.0000  2 Dy 2.42, 4 Sm 2.46-2.62

- space-group type = Immm
- calculated volume (Å³/cell) = 194.0
- M_tot (μB/atom) = 0.000
- energy of formation (eV/atom) = -0.628



A relaxed structure of Sm2DySnC. Source: Alexandria via LeMat-Bulk, functional PBE.

a b c (Å): 4.9017 5.0283 5.0283
angles (deg): 90.00 90.00 90.00
Last column: nearest neighbours and their distance in Å.
Sites, in units of the cell vectors:
1 Sm 0.0000 0.0000 0.5000  2 C 2.51
2 Sm 0.0000 0.5000 0.0000  2 C 2.51
3 Dy 0.5000 0.0000 0.0000  2 C 2.45
4 Sn 0.5000 0.5000 0.5000  8 Sm 3.51, 4 Dy 3.56
5 C 0.0000 0.0000 0.0000  2 Dy 2.45, 4 Sm 2.51

- space-group type = P4/mmm
- calculated volume (Å³/cell) = 123.9
- M_tot (μB/atom) = 0.000
- energy of formation (eV/atom) = -0.561



A relaxed structure of SmDyThC. Source: Alexandria via LeMat-Bulk, functional PBE.

a b c (Å): 3.6110 3.6119 9.5275
angles (deg): 89.99 100.93 120.01
Last column: nearest neighbours and their distance in Å.
Sites, in units of the cell vectors:
1 Sm 0.9754 0.3859 0.3753  6 Sm 3.61, 3 Dy 3.76, 3 Th 3.92
2 Dy 0.5322 0.1640 0.7120  3 C 2.52
3 Th 0.0696 0.9326 0.0179  3 C 2.53
4 C 0.3008 0.5482 0.8643  3 Dy 2.52, 3 Th 2.53

- space-group type = R3m
- calculated volume (Å³/cell) = 105.0
- M_tot (μB/atom) = 0.000
- energy of formation (eV/atom) = -0.160



A relaxed structure of SmDy2TlC. Source: Alexandria via LeMat-Bulk, functional PBE.

a b c (Å): 5.0547 4.9299 4.9299
angles (deg): 90.00 90.00 90.00
Last column: nearest neighbours and their distance in Å.
Sites, in units of the cell vectors:
1 Sm 0.5000 0.0000 0.0000  2 C 2.53
2 Dy 0.0000 0.0000 0.5000  2 C 2.46
3 Dy 0.0000 0.5000 0.0000  2 C 2.46
4 Tl 0.5000 0.5000 0.5000  4 Sm 3.49, 8 Dy 3.53
5 C 0.0000 0.0000 0.0000  4 Dy 2.46, 2 Sm 2.53

- space-group type = P4/mmm
- calculated volume (Å³/cell) = 122.8
- M_tot (μB/atom) = 0.000
- energy of formation (eV/atom) = -0.412



| no. | DOS at the Fermi energy (states/eV/atom) |
| --- | --- |
| 1 | 0.848 |
| 2 | 0.920 |
| 3 | 0.121 |
| 4 | 0.465 |
| 5 | 1.047 |
| 6 | 0.363 |